Here is a relaxed Ir4Rh crystal from Alexandria via LeMat-Bulk. Energies are from PBE.

Cell: 4.7340 4.7340 4.7340 Å, 99.63 99.63 131.72°
Last column: nearest neighbours and their distance in Å.
Atoms (fractional coordinates):
Ir: 0.0988 0.3004 0.3993  9 Ir 2.72-2.75, 3 Rh 2.74
Ir: 0.3004 0.9012 0.2016  9 Ir 2.72-2.75, 3 Rh 2.74
Ir: 0.6996 0.0988 0.7984  9 Ir 2.72-2.75, 3 Rh 2.74
Ir: 0.9012 0.6996 0.6007  9 Ir 2.72-2.75, 3 Rh 2.74
Rh: 0.5000 0.5000 0.0000  12 Ir 2.74

Energy above the most stable polymorph in this dataset: 0.0 meV per atom
M_tot: 0.00 μB per cell
Density: 20.03 Mg/m³
Calculated formation energy: -0.012 eV per atom
E_tot: -0.630 Ry per atom
Space group: I4/m (87)

Here is a relaxed MgInSnGe crystal from Alexandria via LeMat-Bulk. Energies are from PBE.

Cell: 5.1251 5.1251 5.1251 Å, 60.00 60.00 60.00°
Last column: nearest neighbours and their distance in Å.
Atoms (fractional coordinates):
Mg: 0.0000 0.0000 0.0000  4 In 3.14, 4 Ge 3.14
In: 0.7500 0.7500 0.7500  4 Sn 3.14, 4 Mg 3.14
Sn: 0.5000 0.5000 0.5000  4 Ge 3.14, 4 In 3.14
Ge: 0.2500 0.2500 0.2500  4 Sn 3.14, 4 Mg 3.14

M_tot: 0.00 μB per cell
Density: 5.77 Mg/m³
Calculated formation energy: 0.071 eV per atom
E_tot: -0.233 Ry per atom
Space group: F-43m (216)